A geometry-optimized Sr2Cu4BiSb3 structure, computed with PBE-GGA.

Cell: 4.6359 4.6359 10.9450 Å, 90.00 90.00 90.00°
Fractional positions:
Cu: 0.0000 0.5000 0.3604
Sb: 0.5000 0.0000 0.8738
Cu: 0.5000 0.5000 0.0000
Sb: 0.0000 0.0000 0.5000
Sr: 0.0000 0.5000 0.7692
Bi: 0.5000 0.5000 0.5000
Sb: 0.0000 0.5000 0.1262
Cu: 0.5000 0.0000 0.6396
Sr: 0.5000 0.0000 0.2308
Cu: 0.0000 0.0000 0.0000

Values from the calculation:
**Crystal system**: tetragonal
**M_tot**: 0.0 Bohr magnetons per cell
**Energy relative to the elements, uncorrected**: -390 kJ/mol of formula units
**Volume**: 23.52 Å³ per atom
**D(E_F)**: 0.424 states/eV per atom